# 1
VASP calculation (PBE-GGA) on NiSbRh3 after structural relaxation.

Properties
The calculation puts the total magnetization at 1.900 μB per formula unit. Its formation energy without anion corrections is 1.2646 eV per atom.

a = 4.7964 Å, b = 4.7964 Å, c = 4.7964 Å
α = 90.00°, β = 90.00°, γ = 90.00°
Closest atoms and distances in Å follow each position.
Positions (direct):
Ni1 0.0000 0.0000 0.0000  12 Rh 3.39
Sb1 0.5000 0.5000 0.5000  6 Rh 2.40
Rh1 0.0000 0.5000 0.5000  2 Sb 2.40
Rh2 0.5000 0.0000 0.5000  2 Sb 2.40
Rh3 0.5000 0.5000 0.0000  2 Sb 2.40

***

# 2
VASP calculation (PBE-GGA) on NiSb3Rh after structural relaxation.

Properties
The calculation puts the total magnetization at 0.000 μB per formula unit. Its formation energy without anion corrections is 0.5231 eV per atom.

a = 4.8729 Å, b = 4.8729 Å, c = 4.8729 Å
α = 90.00°, β = 90.00°, γ = 90.00°
Closest atoms and distances in Å follow each position.
Positions (direct):
Ni1 0.0000 0.0000 0.0000  6 Sb 2.44
Sb1 0.0000 0.0000 0.5000  2 Ni 2.44
Sb2 0.0000 0.5000 0.0000  2 Ni 2.44
Sb3 0.5000 0.0000 0.0000  2 Ni 2.44
Rh1 0.5000 0.5000 0.5000  12 Sb 3.45

***

For each record above, in turn, the calculated excess energy over the best structure of this formula in the dataset values are 0.466; 0.000 eV per atom.